(1)
A relaxed BeFeNi crystal. Source: the Alexandria database, functional PBE-GGA.

Lattice parameters (Å, degrees): 4.980 4.980 4.983 150.80 150.80 41.68
Fractional coordinates of all 3 atoms:
Ni1 0.652 0.652 0.000
Fe1 0.343 0.343 0.000
Be1 0.005 0.005 0.000

Output
The formation energy comes out at -0.228 eV/atom. The space group is No. 42. For the polymorph energy (0 for the lowest one), the calculation gives 0 meV per atom. Its volume is 9.8 Å³/atom.

(2)
A relaxed ScMn2Ir crystal. Source: the Alexandria database, functional PBE-GGA.

Lattice parameters (Å, degrees): 3.080 3.080 6.255 90.00 90.00 90.00
Fractional coordinates of all 4 atoms:
Ir1 0.500 0.500 0.770
Mn1 0.000 0.000 0.018
Mn2 0.500 0.500 0.213
Sc1 0.000 0.000 0.500

Output
The formation energy comes out at -0.235 eV/atom. The space group is No. 99. For the polymorph energy (0 for the lowest one), the calculation gives 26 meV per atom. Its volume is 14.8 Å³/atom.

(3)
A relaxed CsSmAgCl6 crystal. Source: the Alexandria database, functional PBE-GGA.

Lattice parameters (Å, degrees): 7.356 6.909 7.795 87.99 85.75 57.53
Fractional coordinates of all 9 atoms:
Cs1 0.019 0.963 0.999
Sm1 0.679 0.639 0.500
Ag1 0.334 0.332 0.499
Cl1 0.985 0.382 0.265
Cl2 0.370 0.022 0.695
Cl3 0.628 0.392 0.739
Cl4 0.002 0.630 0.670
Cl5 0.372 0.625 0.328
Cl6 0.611 0.016 0.304

Output
The uncorrected formation energy is -1.58 eV/atom. The space group is No. 1. Its volume is 37.0 Å³/atom.

> What is the formula in the third record?

CsSmAgCl6